Arrangement i

Zr2ScCo3: optimized geometry, GGA-PBE.

The structure belongs to space group P-3m1 (No. 164); the cell edges are 4.4931, 4.4931 and 10.9978 Å and the angles 90.00°, 90.00° and 120.00°. The distinct sites, in fractional coordinates, are Zr at (0.0000, 0.0000, 0.0000), Zr at (0.0000, 0.0000, 0.5000), Zr at (0.3333, 0.6667, 0.1714), Sc at (0.3333, 0.6667, 0.6650), Co at (0.0000, 0.0000, 0.2486), Co at (0.3333, 0.6667, 0.4175) and Co at (0.3333, 0.6667, 0.9192).

The value obtained for the magnetic moment is 3.71 μB per cell.

---

Arrangement ii

Zr2ScCo3: optimized geometry, GGA-PBE.

The structure belongs to space group P4/mmm (No. 123); the cell edges are 3.1693, 3.1693 and 9.5119 Å and the angles 90.00°, 90.00° and 90.00°. The distinct sites, in fractional coordinates, are Zr at (0.0000, 0.0000, 0.1693), Sc at (0.0000, 0.0000, 0.5000), Co at (0.5000, 0.5000, 0.0000) and Co at (0.5000, 0.5000, 0.3288).

The value obtained for the magnetic moment is 0.75 μB per cell.

---

It turns out arrangement i is the most stable, with the second structure 9 meV/atom higher.

---

Arrangement i

Zr3ScCo: optimized geometry, GGA-PBE.

The structure belongs to space group Pnma (No. 62); the cell edges are 10.3909, 3.2280 and 12.6630 Å and the angles 90.00°, 90.00° and 90.00°. The distinct sites, in fractional coordinates, are Zr at (0.0288, 0.2500, 0.1783), Zr at (0.0361, 0.7500, 0.3969), Zr at (0.2228, 0.2500, 0.7502), Sc at (0.1916, 0.7500, 0.9923) and Co at (0.1576, 0.7500, 0.6010).

The value obtained for the magnetic moment is 0.00 μB per cell.

---

Arrangement ii

Zr3ScCo: optimized geometry, GGA-PBE.

The structure belongs to space group Ima2 (No. 46); the cell edges are 8.2312, 6.2084 and 8.3920 Å and the angles 90.00°, 90.00° and 90.00°. The distinct sites, in fractional coordinates, are Zr at (0.0486, 0.2494, 0.0000), Zr at (0.2500, 0.5106, 0.7514), Sc at (0.2500, 0.5099, 0.2488) and Co at (0.2500, 0.7457, 0.5001).

The value obtained for the magnetic moment is 0.00 μB per cell.

---

It turns out arrangement i is the most stable, with the second structure 109 meV/atom higher.

---

Arrangement i

Zr3ScCo: optimized geometry, GGA-PBE.

The structure belongs to space group Pm-3m (No. 221); the cell edges are 4.8816, 4.8816 and 4.8816 Å and the angles 90.00°, 90.00° and 90.00°. The distinct sites, in fractional coordinates, are Zr at (0.0000, 0.0000, 0.5000), Sc at (0.5000, 0.5000, 0.5000) and Co at (0.0000, 0.0000, 0.0000).

The value obtained for the magnetic moment is 0.00 μB per cell.

---

Arrangement ii

Zr3ScCo: optimized geometry, GGA-PBE.

The structure belongs to space group Pm-3m (No. 221); the cell edges are 4.9290, 4.9290 and 4.9290 Å and the angles 90.00°, 90.00° and 90.00°. The distinct sites, in fractional coordinates, are Zr at (0.0000, 0.0000, 0.5000), Sc at (0.0000, 0.0000, 0.0000) and Co at (0.5000, 0.5000, 0.5000).

The value obtained for the magnetic moment is 0.00 μB per cell.

---

It turns out arrangement i is the most stable, with the second structure 1361 meV/atom higher.

---

Arrangement i

Zr2ScCo2: optimized geometry, GGA-PBE.

The structure belongs to space group I4/mmm (No. 139); the cell edges are 3.7997, 3.7997 and 13.3927 Å and the angles 90.00°, 90.00° and 90.00°. The distinct sites, in fractional coordinates, are Zr at (0.0000, 0.0000, 0.1266), Sc at (0.0000, 0.0000, 0.5000) and Co at (0.0000, 0.5000, 0.2500).

The value obtained for the magnetic moment is 0.00 μB per cell.

---

Arrangement ii

Zr2ScCo2: optimized geometry, GGA-PBE.

The structure belongs to space group I4/mmm (No. 139); the cell edges are 4.4011, 4.4011 and 9.7710 Å and the angles 90.00°, 90.00° and 90.00°. The distinct sites, in fractional coordinates, are Zr at (0.0000, 0.5000, 0.2500), Sc at (0.0000, 0.0000, 0.0000) and Co at (0.0000, 0.0000, 0.3887).

The value obtained for the magnetic moment is 0.00 μB per cell.

---

Arrangement iii

Zr2ScCo2: optimized geometry, GGA-PBE.

The structure belongs to space group P4/mbm (No. 127); the cell edges are 7.2195, 7.2195 and 3.3667 Å and the angles 90.00°, 90.00° and 90.00°. The distinct sites, in fractional coordinates, are Zr at (0.1636, 0.3364, 0.0000), Sc at (0.0000, 0.0000, 0.5000) and Co at (0.1289, 0.6289, 0.5000).

The value obtained for the magnetic moment is 0.00 μB per cell.

---

Arrangement iv

Zr2ScCo2: optimized geometry, GGA-PBE.

The structure belongs to space group C2/m (No. 12); the cell edges are 11.0455, 3.3317 and 5.1430 Å and the angles 90.00°, 102.19° and 90.00°. The distinct sites, in fractional coordinates, are Zr at (0.1396, 0.0000, 0.0603), Sc at (0.0000, 0.5000, 0.5000) and Co at (0.2190, 0.0000, 0.6292).

The value obtained for the magnetic moment is 0.00 μB per cell.

---

It turns out arrangement iii is the most stable, with the second structure 104 meV/atom higher.